! Mg2AlWO6, relaxed, DFT PBE with a Hubbard U; values from VASP
&SYSTEM
  ibrav = 0, nat = 10, ntyp = 4
/
ATOMIC_SPECIES
O 16.00 O.upf
Mg 24.30 Mg.upf
Al 26.98 Al.upf
W 183.84 W.upf
ATOMIC_POSITIONS angstrom
O -4.910 -1.550 3.966
O -2.622 -0.517 4.660
O -0.520 0.742 0.610
O -2.603 -1.965 1.863
O -2.728 1.091 2.613
O -5.016 0.058 1.920
Mg -4.406 2.045 1.836
Mg -2.043 1.478 4.539
Al -1.353 1.931 1.587
W -3.461 -0.741 2.869
CELL_PARAMETERS angstrom
-2.264 3.229 2.656
-4.516 -2.040 -1.368
0.210 -3.174 4.038
! E_tot: -6.64 eV per atom
! spin magnetization: 0.100 μB/atom
! N(E_F): 0.0 states/eV per cell